Record 1
# GaGe2I | Alexandria via LeMat-Bulk | PBE | optimized geometry
# Formation energy (no corrections) in meV per atom: 494
data_GaGe2I
_chemical_formula_sum 'Ga4 Ge8 I4'
_cell_length_a 7.2355
_cell_length_b 7.2355
_cell_length_c 7.2355
_cell_angle_alpha 90.00
_cell_angle_beta 90.00
_cell_angle_gamma 90.00
_space_group_name_H-M_alt 'F m -3 m'
_space_group_IT_number 225
_space_group_name_Hall '-F 4 2 3'
loop_
_atom_site_label
_atom_site_fract_x
_atom_site_fract_y
_atom_site_fract_z
Ga1 0.0000 0.0000 0.0000
Ge1 0.2500 0.2500 0.2500
I1 0.0000 0.0000 0.5000

Record 2
# RbTlBiPb2 | Alexandria via LeMat-Bulk | PBE | optimized geometry
# DFT formation energy in meV per atom: -104.4
data_RbTlBiPb2
_chemical_formula_sum 'Rb2 Tl2 Bi2 Pb4'
_cell_length_a 4.9579
_cell_length_b 5.3589
_cell_length_c 14.6014
_cell_angle_alpha 90.00
_cell_angle_beta 90.00
_cell_angle_gamma 90.00
_space_group_name_H-M_alt 'I m m 2'
_space_group_IT_number 44
_space_group_name_Hall 'I 2 -2'
loop_
_atom_site_label
_atom_site_fract_x
_atom_site_fract_y
_atom_site_fract_z
Rb1 0.0000 0.0000 0.0000
Tl1 0.0000 0.0000 0.3831
Bi1 0.0000 0.5000 0.7370
Pb1 0.0000 0.0000 0.6113
Pb2 0.0000 0.5000 0.2520

no.,M_tot (μB per atom),DOS at the Fermi energy (states/eV per cell)
1,0.000,15.13
2,0.000,4.29